# 1
Below is a PBEsol-optimized structure of Ti2MnTc, with properties calculated at the meta-GGA SCAN level.

Geometry as CIF:
```
data_Ti2MnTc
_space_group_name_H-M_alt 'F m -3 m'
_space_group_IT_number 225
_space_group_name_Hall '-F 4 2 3'
_cell_length_a 6.011
_cell_length_b 6.011
_cell_length_c 6.011
_cell_angle_alpha 90.00
_cell_angle_beta 90.00
_cell_angle_gamma 90.00
loop_
_atom_site_label
_atom_site_type_symbol
_atom_site_fract_x
_atom_site_fract_y
_atom_site_fract_z
Ti1 Ti 0.250 0.250 0.250
Mn1 Mn 0.000 0.000 0.000
Tc1 Tc 0.000 0.000 0.500
```

Calculated values
ΔE_f = -0.38 eV per atom

# 2
Below is a PBEsol-optimized structure of YSbAs2, with properties calculated at the meta-GGA SCAN level.

Geometry as CIF:
```
data_YSbAs2
_space_group_name_H-M_alt 'P 4 m m'
_space_group_IT_number 99
_cell_length_a 4.072
_cell_length_b 4.072
_cell_length_c 5.901
_cell_angle_alpha 90.00
_cell_angle_beta 90.00
_cell_angle_gamma 90.00
loop_
_space_group_symop_operation_xyz
'x,y,z'
'-y,x,z'
'-x,-y,z'
'y,-x,z'
'-x,y,z'
'y,x,z'
'x,-y,z'
'-y,-x,z'
loop_
_atom_site_label
_atom_site_type_symbol
_atom_site_fract_x
_atom_site_fract_y
_atom_site_fract_z
Y1 Y 0.000 0.000 0.000
Sb1 Sb 0.500 0.500 0.579
As1 As 0.000 0.000 0.511
As2 As 0.500 0.500 0.035
```

Calculated values
formation energy (no corrections) = -804 meV/atom

no.,density (g/cm3),E_tot (eV/atom)
1,7.603,-21.723
2,6.120,-27.175